## Cs2K2Na3 (PBE)

Data for a geometry-optimized Cs2K2Na3 structure.

Computed properties:
Its formation energy is 21 meV/atom. The value obtained for the uncorrected energy is -7.7 eV per cell. As for the space group: C2/m. The density of states at the Fermi level comes out at 4.43 states/eV/f.u.

```
Cs2K2Na3
1.0
8.220 -3.437 0.000
8.220 3.437 0.000
-6.303 0.000 8.203
Cs K Na
2 2 3
Direct
0.173 0.173 0.056
0.827 0.827 0.944
0.148 0.148 0.512
0.852 0.852 0.488
0.461 0.461 0.799
0.500 0.500 0.500
0.539 0.539 0.201
```